[1]
VASP calculation (GGA-PBE) on Pm2Th2Ir3 after structural relaxation.

Structure (POSCAR):
```
Pm2Th2Ir3
1.0
-3.745 0.604 1.639
1.728 -6.734 1.213
3.057 3.127 5.837
Pm Th Ir
2 2 3
Direct
0.866 0.729 0.641
0.134 0.271 0.359
0.631 0.261 0.901
0.369 0.739 0.099
0.000 0.000 0.000
0.762 0.525 0.253
0.238 0.475 0.747
```

Magnetization in Bohr magnetons per cell: 0.00
Formation energy in eV/atom: -0.7608
Total energy in eV per cell: -56.2
Relative energy among the computed polymorphs in kJ per mole of atoms: 0.0
Space-group type: P-1, No. 2
Crystal system: triclinic


[2]
VASP calculation (GGA-PBE) on SmHoTmCd after structural relaxation.

Structure (POSCAR):
```
SmHoTmCd
1.0
-4.732 -0.676 -2.612
-2.924 -4.528 0.788
-4.691 0.233 2.758
Tm Ho Sm Cd
1 1 1 1
Direct
0.250 0.250 0.250
0.000 0.000 0.000
0.500 0.500 0.500
0.750 0.750 0.750
```

Magnetization in Bohr magnetons per cell: 0.00
Formation energy in eV/atom: -0.0331
Total energy in eV per cell: -14.8
Relative energy among the computed polymorphs in kJ per mole of atoms: 11.1
Space-group type: F-43m, No. 216
Crystal system: cubic


[3]
VASP calculation (GGA-PBE) on CaMg3Ga after structural relaxation.

Structure (POSCAR):
```
CaMg3Ga
1.0
-0.275 -0.143 -5.176
4.700 -2.183 -0.190
-2.174 -4.702 0.245
Ca Mg Ga
1 3 1
Direct
0.500 0.500 0.500
0.000 0.500 0.000
0.000 0.000 0.500
0.500 0.000 0.000
0.000 0.000 0.000
```

Magnetization in Bohr magnetons per cell: 0.00
Formation energy in eV/atom: 0.0657
Total energy in eV per cell: -9.5
Relative energy among the computed polymorphs in kJ per mole of atoms: 24.9
Space-group type: Pm-3m, No. 221
Crystal system: cubic


[4]
VASP calculation (GGA-PBE) on YIn5 after structural relaxation.

Structure (POSCAR):
```
YIn5
1.0
-5.261 -1.510 2.622
4.068 -3.959 1.005
3.957 3.143 2.727
Y In
1 5
Direct
0.972 0.000 0.945
0.805 0.500 0.611
0.634 0.000 0.268
0.472 0.500 0.944
0.311 0.000 0.621
0.139 0.500 0.278
```

Magnetization in Bohr magnetons per cell: 0.00
Formation energy in eV/atom: -0.1604
Total energy in eV per cell: -21.1
Relative energy among the computed polymorphs in kJ per mole of atoms: 4.1
Space-group type: C2/m, No. 12
Crystal system: monoclinic


[5]
VASP calculation (GGA-PBE) on CoMo2Pt after structural relaxation.

Structure (POSCAR):
```
CoMo2Pt
1.0
3.780 0.000 0.000
0.000 3.780 0.000
0.000 0.000 4.002
Co Mo Pt
1 2 1
Direct
0.000 0.500 0.500
0.000 0.000 0.000
0.500 0.500 0.000
0.500 0.000 0.500
```

Magnetization in Bohr magnetons per cell: 0.00
Formation energy in eV/atom: -0.1317
Total energy in eV per cell: -35.3
Relative energy among the computed polymorphs in kJ per mole of atoms: 0.7
Space-group type: P4/mmm, No. 123
Crystal system: tetragonal


[6]
VASP calculation (GGA-PBE) on Np2TlCdO8 after structural relaxation.

Structure (POSCAR):
```
Np2TlCdO8
1.0
6.304 0.000 0.000
-3.152 5.459 0.000
0.000 0.000 5.911
Np Tl Cd O
2 1 1 8
Direct
0.667 0.333 0.058
0.333 0.667 0.942
0.000 0.000 0.000
0.000 0.000 0.500
0.931 0.598 0.855
0.402 0.333 0.855
0.667 0.069 0.855
0.069 0.402 0.145
0.598 0.667 0.145
0.333 0.931 0.145
0.667 0.333 0.367
0.333 0.667 0.633
```

Magnetization in Bohr magnetons per cell: 0.00
Total energy in eV per cell: -89.5
Space-group type: P-3, No. 147
Crystal system: trigonal
E_form (uncorrected) in eV/atom: -1.725


[7]
VASP calculation (GGA-PBE) on Y5Cd3 after structural relaxation.

Structure (POSCAR):
```
Y5Cd3
1.0
6.663 0.017 0.000
1.274 6.540 0.000
0.000 0.000 5.141
Cd Y
3 5
Direct
0.500 0.500 0.000
0.221 0.221 0.500
0.779 0.779 0.500
0.000 0.000 0.000
0.000 0.500 0.000
0.500 0.000 0.000
0.719 0.281 0.500
0.281 0.719 0.500
```

Magnetization in Bohr magnetons per cell: 0.01
Formation energy in eV/atom: -0.1936
Total energy in eV per cell: -36.6
Relative energy among the computed polymorphs in kJ per mole of atoms: 5.0
Space-group type: Cmmm, No. 65
Crystal system: orthorhombic


[8]
VASP calculation (GGA-PBE) on LiCdIN2 after structural relaxation.

Structure (POSCAR):
```
LiCdIN2
1.0
-1.156 3.927 -1.312
-3.924 -0.605 1.647
1.766 2.196 5.015
I N Li Cd
1 2 1 1
Direct
0.000 0.000 0.500
0.000 0.500 0.000
0.500 0.000 0.000
0.000 0.000 0.000
0.500 0.500 0.500
```

Magnetization in Bohr magnetons per cell: 4.66
Total energy in eV per cell: -13.9
Relative energy among the computed polymorphs in kJ per mole of atoms: 29.7
Space-group type: P4/mmm, No. 123
Crystal system: tetragonal
E_form (uncorrected) in eV/atom: 1.426